(1)
Material: CsGa3Pb
Method: DFT, meta-GGA SCAN
State: single point on PBEsol structure Values from VASP.

Summary:
Its space group is Pm-3m. Its density of states at the Fermi level is 2.6 states/eV/f.u. The calculation puts the total magnetic moment at 0.0 μB/f.u. The value obtained for the formation energy is 1.29 eV per atom.

Geometry as Quantum ESPRESSO input:
```
&SYSTEM
  ibrav = 0, nat = 5, ntyp = 3
/
ATOMIC_SPECIES
Cs 132.91 Cs.upf
Ga 69.72 Ga.upf
Pb 207.20 Pb.upf
ATOMIC_POSITIONS crystal
Cs 0.000 0.000 0.000
Ga 0.000 0.000 0.500
Ga 0.000 0.500 0.000
Ga 0.500 0.000 0.000
Pb 0.500 0.500 0.500
CELL_PARAMETERS angstrom
5.662 0.000 0.000
0.000 5.662 0.000
0.000 0.000 5.662
```

=====

(2)
Material: CsGa2Pd
Method: DFT, meta-GGA SCAN
State: single point on PBEsol structure Values from VASP.

Summary:
Its space group is Fm-3m. Its density of states at the Fermi level is 2.9 states/eV/f.u. The calculation puts the total magnetic moment at 0.0 μB/f.u. The value obtained for the formation energy is 0.48 eV per atom.

Geometry as Quantum ESPRESSO input:
```
&SYSTEM
  ibrav = 0, nat = 4, ntyp = 3
/
ATOMIC_SPECIES
Cs 132.91 Cs.upf
Ga 69.72 Ga.upf
Pd 106.42 Pd.upf
ATOMIC_POSITIONS crystal
Cs 0.000 0.000 0.000
Ga 0.250 0.250 0.250
Ga 0.750 0.750 0.750
Pd 0.500 0.500 0.500
CELL_PARAMETERS angstrom
0.000 3.569 3.569
3.569 0.000 3.569
3.569 3.569 0.000
```

=====

(3)
Material: CsGa2Pt2
Method: DFT, meta-GGA SCAN
State: single point on PBEsol structure Values from VASP.

Summary:
Its space group is I4/mmm. Its density of states at the Fermi level is 2.2 states/eV/f.u. The calculation puts the total magnetic moment at 0.0 μB/f.u. The value obtained for the formation energy is -0.45 eV per atom.

Geometry as Quantum ESPRESSO input:
```
&SYSTEM
  ibrav = 0, nat = 5, ntyp = 3
/
ATOMIC_SPECIES
Cs 132.91 Cs.upf
Ga 69.72 Ga.upf
Pt 195.08 Pt.upf
ATOMIC_POSITIONS crystal
Cs 0.000 0.000 0.000
Ga 0.250 0.750 0.500
Ga 0.750 0.250 0.500
Pt 0.344 0.344 0.000
Pt 0.656 0.656 0.000
CELL_PARAMETERS angstrom
-2.151 2.151 6.620
2.151 -2.151 6.620
2.151 2.151 -6.620
```

=====

(4)
Material: Cs2GaPtRh
Method: DFT, meta-GGA SCAN
State: single point on PBEsol structure Values from VASP.

Summary:
Its space group is P4/mmm. Its density of states at the Fermi level is 2.7 states/eV/f.u. The calculation puts the total magnetic moment at 1.8 μB/f.u. The value obtained for the formation energy is 0.52 eV per atom.

Geometry as Quantum ESPRESSO input:
```
&SYSTEM
  ibrav = 0, nat = 5, ntyp = 4
/
ATOMIC_SPECIES
Cs 132.91 Cs.upf
Ga 69.72 Ga.upf
Pt 195.08 Pt.upf
Rh 102.91 Rh.upf
ATOMIC_POSITIONS crystal
Cs 0.000 0.500 0.000
Cs 0.500 0.000 0.000
Ga 0.000 0.000 0.500
Pt 0.000 0.000 0.000
Rh 0.500 0.500 0.500
CELL_PARAMETERS angstrom
6.341 0.000 0.000
0.000 6.341 0.000
0.000 0.000 4.703
```